DFT (GGA-PBE) results for crystalline Cr2NiIr at its relaxed geometry.

a b c (Å): 2.615 3.680 5.089
angles (deg): 90.00 90.00 90.00
Space group Pmmm (No. 47)
Asymmetric unit:
Cr: 0.000 0.000 0.238 (multiplicity 2)
Ni: 0.500 0.500 0.000 (multiplicity 1)
Ir: 0.500 0.500 0.500 (multiplicity 1)

Summary:
The calculation puts the magnetization at 0.00 μB per atom. As for the total energy: -8.532 eV per atom. As for the energy of formation from the pure elements: -0.0594 eV per atom.